# 1
Computed, not measured: an optimized crystal structure of TaNbTlBr2 at the GGA-PBE level of DFT.

Lattice parameters (Å, degrees): 5.4051 5.6653 5.4051 90.00 90.00 90.00
With the nearest neighbours (Å) after each atom.
Sites, in units of the cell vectors:
Nb: 0.5000 0.5000 0.5000  4 Ta 3.82, 8 Br 3.92
Ta: 0.0000 0.5000 0.0000  2 Tl 2.83
Br: 0.5000 0.0000 0.0000  2 Tl 2.70
Br: 0.0000 0.0000 0.5000  2 Tl 2.70
Tl: 0.0000 0.0000 0.0000  4 Br 2.70, 2 Ta 2.83

# 2
Computed, not measured: an optimized crystal structure of Ta2NbVBr at the GGA-PBE level of DFT.

Lattice parameters (Å, degrees): 4.7538 4.7340 4.7538 90.00 90.00 90.00
With the nearest neighbours (Å) after each atom.
Sites, in units of the cell vectors:
Br: 0.5000 0.5000 0.5000  8 Ta 3.35, 4 Nb 3.36
Ta: 0.0000 0.0000 0.5000  2 V 2.38
Nb: 0.0000 0.5000 0.0000  2 V 2.37
Ta: 0.5000 0.0000 0.0000  2 V 2.38
V: 0.0000 0.0000 0.0000  2 Nb 2.37, 4 Ta 2.38

# 3
Computed, not measured: an optimized crystal structure of TaNbVBr2 at the GGA-PBE level of DFT.

Lattice parameters (Å, degrees): 4.6925 5.0746 4.6925 90.00 90.00 90.00
With the nearest neighbours (Å) after each atom.
Sites, in units of the cell vectors:
Ta: 0.5000 0.5000 0.5000  4 Nb 3.32, 8 Br 3.46
Nb: 0.0000 0.5000 0.0000  2 V 2.54
Br: 0.0000 0.0000 0.5000  2 V 2.35
Br: 0.5000 0.0000 0.0000  2 V 2.35
V: 0.0000 0.0000 0.0000  4 Br 2.35, 2 Nb 2.54

# 4
Computed, not measured: an optimized crystal structure of NbTc2Br at the GGA-PBE level of DFT.

Lattice parameters (Å, degrees): 5.8126 5.8126 6.7941 64.67 64.67 90.00
With the nearest neighbours (Å) after each atom.
Sites, in units of the cell vectors:
Tc: 0.1349 0.6250 0.2500  2 Br 2.43, 2 Nb 2.49
Br: 0.2500 0.7500 0.5000  4 Tc 2.43
Tc: 0.8750 0.8651 0.7500  2 Br 2.43, 2 Nb 2.49
Tc: 0.6151 0.1250 0.2500  2 Br 2.43, 2 Nb 2.49
Tc: 0.3750 0.3849 0.7500  2 Br 2.43, 2 Nb 2.49
Nb: 0.7500 0.2500 0.5000  4 Tc 2.49
Br: 0.5000 0.5000 0.0000  4 Tc 2.43
Nb: 0.0000 0.0000 0.0000  4 Tc 2.49

Relative energy among the computed polymorphs: 439.3 meV per atom

no.,raw total energy (eV/cell),uncorrected formation energy (meV/atom),N(E_F) (states/eV/cell)
1,-17.60,2006,7.1
2,-37.91,1331,4.3
3,-27.68,1341,5.9
4,-55.04,1239,5.5